The following is a PBE calculation of a relaxed structure of TbLuCu, from Alexandria.

Output
Uncorrected energy   -4.380 eV per atom
ΔE to the lowest computed polymorph   178.1 meV per atom
DFT formation energy   3.41 kJ per mole of atoms
Density of states at the Fermi level   0.986 states/eV per atom
Space-group type   P3m1

a b c (Å): 4.7333 4.7333 3.7827
angles (deg): 90.00 90.00 120.00
Atoms (fractional coordinates):
Tb: 0.0000 0.0000 0.0000
Lu: 0.3333 0.6667 0.5148
Cu: 0.6667 0.3333 0.3113